No. 1
IrPtBr2, optimized geometry, DFT PBE-GGA; DOS(E_F) = 2.83 states/eV per cell; uncorrected formation energy = 511 meV/atom; E above lowest polymorph = 0.386 eV/atom; DFT total energy = -4.051 eV/atom
1.0
6.9775 0.0754 0.0046
4.6407 5.2111 -0.0046
-5.5019 -3.3185 2.7219
Ir Br Pt
1 2 1
direct
0.7500 0.2500 0.5000
0.8922 0.8922 0.0000
0.6078 0.6078 0.0000
0.2500 0.7500 0.5000



No. 2
IrPtBr2, optimized geometry, DFT PBE-GGA; DOS(E_F) = 1.91 states/eV per cell; uncorrected formation energy = 409 meV/atom; E above lowest polymorph = 0.284 eV/atom; DFT total energy = -4.153 eV/atom
1.0
-0.5608 -2.4546 2.8798
2.5346 -3.4111 -2.4138
4.8049 -0.0451 0.8972
Ir Br Pt
1 2 1
direct
0.0000 0.5126 0.5125
0.0000 0.9587 0.9587
0.5000 0.3037 0.3037
0.5000 0.7251 0.7251



No. 3
Ir3PtBr, optimized geometry, DFT PBE-GGA; DOS(E_F) = 8.36 states/eV per cell; uncorrected formation energy = 1996 meV/atom; E above lowest polymorph = 0.000 eV/atom; DFT total energy = -4.863 eV/atom
1.0
4.5690 0.0000 0.0000
0.0000 4.5690 0.0000
0.0000 0.0000 4.5690
Ir Br Pt
3 1 1
direct
0.0000 0.5000 0.0000
0.0000 0.0000 0.5000
0.5000 0.0000 0.0000
0.0000 0.0000 0.0000
0.5000 0.5000 0.5000



No. 4
IrPtBr2, optimized geometry, DFT PBE-GGA; DOS(E_F) = 3.24 states/eV per cell; uncorrected formation energy = 850 meV/atom; E above lowest polymorph = 0.725 eV/atom; DFT total energy = -3.712 eV/atom
1.0
-0.2826 0.4922 -3.1970
2.4659 -1.5620 1.4222
-4.3736 -7.6207 -0.7866
Ir Br Pt
1 2 1
direct
0.5000 0.5000 0.2500
0.0000 0.0000 0.0125
0.0000 0.0000 0.4875
0.5000 0.5000 0.7500



No. 5
IrPtBr2, optimized geometry, DFT PBE-GGA; DOS(E_F) = 3.83 states/eV per cell; uncorrected formation energy = 613 meV/atom; E above lowest polymorph = 0.488 eV/atom; DFT total energy = -3.949 eV/atom
1.0
-6.0866 -1.6405 -3.3600
-5.0006 -4.7256 1.9209
3.9712 5.7450 1.5007
Ir Br Pt
1 2 1
direct
0.5276 0.5276 0.0000
0.9287 0.9287 0.0000
0.6511 0.1511 0.5000
0.3925 0.8925 0.5000



No. 6
Ir3PtBr, optimized geometry, DFT PBE-GGA; DOS(E_F) = 8.66 states/eV per cell; uncorrected formation energy = 2121 meV/atom; E above lowest polymorph = 0.125 eV/atom; DFT total energy = -4.738 eV/atom
1.0
-0.1583 2.6932 4.0699
-2.1278 -3.7027 2.3675
4.3920 -1.6968 1.2936
Ir Br Pt
3 1 1
direct
0.0000 0.5000 0.0000
0.0000 0.0000 0.5000
0.5000 0.0000 0.0000
0.5000 0.5000 0.5000
0.0000 0.0000 0.0000



No. 7
IrPtBr2, optimized geometry, DFT PBE-GGA; DOS(E_F) = 5.83 states/eV per cell; uncorrected formation energy = 1143 meV/atom; E above lowest polymorph = 1.018 eV/atom; DFT total energy = -3.419 eV/atom
1.0
0.0000 3.3136 3.3136
3.3136 0.0000 3.3136
3.3136 3.3136 0.0000
Ir Br Pt
1 2 1
direct
0.0000 0.0000 0.0000
0.2500 0.2500 0.2500
0.7500 0.7500 0.7500
0.5000 0.5000 0.5000



No. 8
IrPtBr3, optimized geometry, DFT PBE-GGA; DOS(E_F) = 11.75 states/eV per cell; uncorrected formation energy = 956 meV/atom; E above lowest polymorph = 0.000 eV/atom; DFT total energy = -3.028 eV/atom
1.0
-3.4260 3.1287 1.9385
-2.8686 -0.6105 -4.0844
-2.3060 -3.8888 2.2008
Ir Br Pt
1 3 1
direct
0.0000 0.0000 0.0000
0.0000 0.5000 0.0000
0.0000 0.0000 0.5000
0.5000 0.0000 0.0000
0.5000 0.5000 0.5000



No. 9
IrPtBr2, optimized geometry, DFT PBE-GGA; DOS(E_F) = 5.08 states/eV per cell; uncorrected formation energy = 1040 meV/atom; E above lowest polymorph = 0.915 eV/atom; DFT total energy = -3.522 eV/atom
1.0
6.5367 0.0244 0.0000
4.4361 4.8011 0.0000
-5.4864 -2.4127 2.6091
Ir Br Pt
1 2 1
direct
0.5000 0.5000 0.0000
0.0000 0.0000 0.0000
0.2500 0.7500 0.5000
0.7500 0.2500 0.5000



No. 10
IrPtBr2, optimized geometry, DFT PBE-GGA; DOS(E_F) = 4.37 states/eV per cell; uncorrected formation energy = 579 meV/atom; E above lowest polymorph = 0.454 eV/atom; DFT total energy = -3.983 eV/atom
1.0
3.2145 0.0118 0.0000
-1.9139 2.5827 0.0000
0.0000 0.0000 10.2886
Ir Br Pt
1 2 1
direct
0.0000 0.0000 0.5160
0.0000 0.0000 0.9457
0.5000 0.5000 0.3112
0.5000 0.5000 0.7272



No. 11
IrPtBr2, optimized geometry, DFT PBE-GGA; DOS(E_F) = 4.02 states/eV per cell; uncorrected formation energy = 1172 meV/atom; E above lowest polymorph = 1.047 eV/atom; DFT total energy = -3.390 eV/atom
1.0
-2.6996 3.8748 0.2601
-3.9615 0.2988 -2.5665
-4.2182 -0.1953 2.1303
Ir Br Pt
1 2 1
direct
0.5000 0.5000 0.5000
0.0000 0.0000 0.0000
0.2500 0.2500 0.2500
0.7500 0.7500 0.7500



No. 12
IrPtBr2, optimized geometry, DFT PBE-GGA; DOS(E_F) = 4.82 states/eV per cell; uncorrected formation energy = 585 meV/atom; E above lowest polymorph = 0.460 eV/atom; DFT total energy = -3.977 eV/atom
1.0
-1.6829 1.2822 2.3797
1.5418 -1.8472 2.0856
5.9601 6.0518 0.9541
Ir Br Pt
1 2 1
direct
0.0000 0.0000 0.5326
0.0000 0.0000 0.9231
0.5000 0.5000 0.3351
0.5000 0.5000 0.7092



No. 13
IrPtBr2, optimized geometry, DFT PBE-GGA; DOS(E_F) = 5.29 states/eV per cell; uncorrected formation energy = 1135 meV/atom; E above lowest polymorph = 1.010 eV/atom; DFT total energy = -3.427 eV/atom
1.0
-1.3604 2.0654 -1.9941
1.7319 -1.1698 -2.3931
-5.2184 -4.8121 -1.4243
Ir Br Pt
1 2 1
direct
0.5000 0.5000 0.2500
0.0000 0.0000 0.0152
0.0000 0.0000 0.4848
0.5000 0.5000 0.7500



No. 14
IrPtBr2, optimized geometry, DFT PBE-GGA; DOS(E_F) = 5.64 states/eV per cell; uncorrected formation energy = 125 meV/atom; E above lowest polymorph = 0.000 eV/atom; DFT total energy = -4.437 eV/atom
1.0
-6.2943 5.0162 0.6513
-7.4077 2.5254 -1.9883
-7.7197 1.6558 1.6938
Ir Br Pt
1 2 1
direct
0.4882 0.4882 0.4882
0.0328 0.0328 0.0328
0.2140 0.2140 0.2140
0.7650 0.7650 0.7650



No. 15
IrPtBr2, optimized geometry, DFT PBE-GGA; DOS(E_F) = 3.19 states/eV per cell; uncorrected formation energy = 481 meV/atom; E above lowest polymorph = 0.356 eV/atom; DFT total energy = -4.081 eV/atom
1.0
4.9034 -0.0008 0.0986
3.6106 3.3178 0.0986
1.5120 0.5891 6.4707
Ir Br Pt
1 2 1
direct
0.4881 0.4881 0.3567
0.0200 0.0200 0.0847
0.8208 0.8208 0.6048
0.1712 0.1712 0.4538



No. 16
IrPtBr4, optimized geometry, DFT PBE-GGA; DOS(E_F) = 10.59 states/eV per cell; uncorrected formation energy = 1810 meV/atom; DFT total energy = -1.789 eV/atom
1.0
1.3579 -5.2906 2.1516
-4.2580 -3.8499 1.2297
-0.6812 -4.7863 -3.3304
Ir Pt Br
1 1 4
direct
0.7500 0.7500 0.7500
0.0000 0.0000 0.0000
0.8746 0.3751 0.3751
0.3751 0.3751 0.8746
0.3751 0.8746 0.3751
0.3751 0.3751 0.3751



No. 17
IrPtBr2, optimized geometry, DFT PBE-GGA; DOS(E_F) = 4.14 states/eV per cell; uncorrected formation energy = 463 meV/atom; E above lowest polymorph = 0.338 eV/atom; DFT total energy = -4.099 eV/atom
1.0
-4.1365 3.9701 3.1876
-5.2632 3.9132 -0.1343
-3.3144 -2.8513 1.1730
Ir Br Pt
1 2 1
direct
0.7500 0.7500 0.7500
0.1084 0.1084 0.9539
0.3916 0.3916 0.5461
0.2500 0.2500 0.2500



No. 18
IrPtBr2, optimized geometry, DFT PBE-GGA; DOS(E_F) = 7.04 states/eV per cell; uncorrected formation energy = 887 meV/atom; E above lowest polymorph = 0.762 eV/atom; DFT total energy = -3.675 eV/atom
1.0
7.0365 0.0000 0.0000
0.0000 7.0365 0.0000
3.5182 3.5182 3.1798
Ir Br Pt
2 4 2
direct
0.5000 0.5000 0.0000
0.2500 0.7500 0.5000
0.6036 0.1250 0.2500
0.1464 0.6250 0.2500
0.3750 0.3964 0.7500
0.8750 0.8536 0.7500
0.0000 0.0000 0.0000
0.7500 0.2500 0.5000



No. 19
IrPtBr2, optimized geometry, DFT PBE-GGA; DOS(E_F) = 3.40 states/eV per cell; uncorrected formation energy = 772 meV/atom; E above lowest polymorph = 0.647 eV/atom; DFT total energy = -3.790 eV/atom
1.0
-1.2043 0.6026 7.8136
2.5215 0.4734 7.5023
0.7113 3.7044 6.9741
Ir Br Pt
1 2 1
direct
0.5000 0.5000 0.5000
0.8950 0.8950 0.8950
0.1050 0.1050 0.1050
0.0000 0.0000 0.0000



No. 20
IrPtBr2, optimized geometry, DFT PBE-GGA; DOS(E_F) = 3.91 states/eV per cell; uncorrected formation energy = 895 meV/atom; E above lowest polymorph = 0.770 eV/atom; DFT total energy = -3.667 eV/atom
1.0
3.0133 0.0000 0.0000
0.0000 5.7684 0.0000
0.0000 0.0000 4.3820
Ir Br Pt
1 2 1
direct
0.5000 0.0000 0.5000
0.0000 0.0000 0.0000
0.5000 0.5000 0.0000
0.0000 0.5000 0.5000